First-principles (PBE) data for a geometry-optimized NaCaPCl2 structure, as listed in Alexandria.

```
NaCaPCl2
1.0
-2.997 1.322 4.270
-2.861 -4.517 -0.609
3.676 -2.792 3.445
P Ca Na Cl
1 1 1 2
direct
0.000 0.000 0.500 P
0.000 0.000 0.000 Ca
0.500 0.500 0.500 Na
0.000 0.500 0.000 Cl
0.500 0.000 0.000 Cl
```

SG: P4/mmm, No. 123
Raw formation energy (eV per formula unit): -4.890
E (eV per atom): -3.46